[1]
The following is a DFT calculation (PBE) of crystalline HfBeAsO at its relaxed geometry.

a b c (Å): 3.701 3.701 9.498
angles (deg): 90.00 90.00 90.00
Space group P4/nmm (No. 129, origin choice 2)
Symmetry-distinct sites (fractional):
Hf: 0.250 0.750 0.000
Be: 0.250 0.250 0.490
As: 0.250 0.250 0.213
O: 0.250 0.750 0.500

relative energy among the computed polymorphs	74.9	kJ per mole of atoms
total moment	0.00	μB/f.u.

=====

[2]
The following is a DFT calculation (PBE) of crystalline HfBeReAs at its relaxed geometry.

a b c (Å): 6.242 6.242 6.242
angles (deg): 90.00 90.00 90.00
Space group F-43m (No. 216)
Symmetry-distinct sites (fractional):
Hf: 0.000 0.000 0.000
Be: 0.250 0.250 0.250
Re: 0.250 0.250 0.750
As: 0.000 0.000 0.500

relative energy among the computed polymorphs	21.2	kJ per mole of atoms
total moment	0.00	μB/f.u.

=====

[3]
The following is a DFT calculation (PBE) of crystalline HfBeReAs at its relaxed geometry.

a b c (Å): 6.277 6.277 6.277
angles (deg): 90.00 90.00 90.00
Space group F-43m (No. 216)
Symmetry-distinct sites (fractional):
Hf: 0.000 0.000 0.000
Be: 0.000 0.000 0.500
Re: 0.250 0.250 0.750
As: 0.250 0.250 0.250

relative energy among the computed polymorphs	30.3	kJ per mole of atoms
total moment	0.00	μB/f.u.

=====

[4]
The following is a DFT calculation (PBE) of crystalline HfBeReAs at its relaxed geometry.

a b c (Å): 6.181 6.181 6.181
angles (deg): 90.00 90.00 90.00
Space group F-43m (No. 216)
Symmetry-distinct sites (fractional):
Hf: 0.000 0.000 0.000
Be: 0.250 0.250 0.250
Re: 0.000 0.000 0.500
As: 0.250 0.250 0.750

relative energy among the computed polymorphs	0.0	kJ per mole of atoms
total moment	0.00	μB/f.u.

=====

[5]
The following is a DFT calculation (PBE) of crystalline HfBeTcAs at its relaxed geometry.

a b c (Å): 6.203 6.203 6.203
angles (deg): 90.00 90.00 90.00
Space group F-43m (No. 216)
Symmetry-distinct sites (fractional):
Hf: 0.000 0.000 0.000
Be: 0.250 0.250 0.250
Tc: 0.250 0.250 0.750
As: 0.000 0.000 0.500

relative energy among the computed polymorphs	17.2	kJ per mole of atoms
total moment	0.00	μB/f.u.

=====

[6]
The following is a DFT calculation (PBE) of crystalline HfBeTcAs at its relaxed geometry.

a b c (Å): 6.178 6.178 6.178
angles (deg): 90.00 90.00 90.00
Space group F-43m (No. 216)
Symmetry-distinct sites (fractional):
Hf: 0.000 0.000 0.000
Be: 0.250 0.250 0.250
Tc: 0.000 0.000 0.500
As: 0.250 0.250 0.750

relative energy among the computed polymorphs	0.0	kJ per mole of atoms
total moment	0.00	μB/f.u.

=====

[7]
The following is a DFT calculation (PBE) of crystalline HfBeTcAs at its relaxed geometry.

a b c (Å): 6.259 6.259 6.259
angles (deg): 90.00 90.00 90.00
Space group F-43m (No. 216)
Symmetry-distinct sites (fractional):
Hf: 0.000 0.000 0.000
Be: 0.000 0.000 0.500
Tc: 0.250 0.250 0.750
As: 0.250 0.250 0.250

relative energy among the computed polymorphs	28.3	kJ per mole of atoms
total moment	0.00	μB/f.u.

=====

[8]
The following is a DFT calculation (PBE) of crystalline BeHgAsIr at its relaxed geometry.

a b c (Å): 6.325 6.325 6.325
angles (deg): 90.00 90.00 90.00
Space group F-43m (No. 216)
Symmetry-distinct sites (fractional):
Be: 0.000 0.000 0.000
Hg: 0.250 0.250 0.250
As: 0.000 0.000 0.500
Ir: 0.250 0.250 0.750

relative energy among the computed polymorphs	0.0	kJ per mole of atoms
total moment	0.00	μB/f.u.

=====

[9]
The following is a DFT calculation (PBE) of crystalline BeHgAsIr at its relaxed geometry.

a b c (Å): 6.373 6.373 6.373
angles (deg): 90.00 90.00 90.00
Space group F-43m (No. 216)
Symmetry-distinct sites (fractional):
Be: 0.000 0.000 0.000
Hg: 0.250 0.250 0.250
As: 0.250 0.250 0.750
Ir: 0.000 0.000 0.500

relative energy among the computed polymorphs	6.5	kJ per mole of atoms
total moment	0.00	μB/f.u.

=====

[10]
The following is a DFT calculation (PBE) of crystalline BeNiHgAs at its relaxed geometry.

a b c (Å): 6.233 6.233 6.233
angles (deg): 90.00 90.00 90.00
Space group F-43m (No. 216)
Symmetry-distinct sites (fractional):
Be: 0.000 0.000 0.000
Ni: 0.000 0.000 0.500
Hg: 0.250 0.250 0.750
As: 0.250 0.250 0.250

relative energy among the computed polymorphs	0.0	kJ per mole of atoms
total moment	0.02	μB/f.u.

=====

[11]
The following is a DFT calculation (PBE) of crystalline BeNiHgAs at its relaxed geometry.

a b c (Å): 6.278 6.278 6.278
angles (deg): 90.00 90.00 90.00
Space group F-43m (No. 216)
Symmetry-distinct sites (fractional):
Be: 0.000 0.000 0.000
Ni: 0.250 0.250 0.750
Hg: 0.250 0.250 0.250
As: 0.000 0.000 0.500

relative energy among the computed polymorphs	13.3	kJ per mole of atoms
total moment	0.06	μB/f.u.

=====

[12]
The following is a DFT calculation (PBE) of crystalline HoBeAs at its relaxed geometry.

a b c (Å): 6.501 6.501 6.501
angles (deg): 90.00 90.00 90.00
Space group F-43m (No. 216)
Symmetry-distinct sites (fractional):
Ho: 0.000 0.000 0.000
Be: 0.250 0.250 0.250
As: 0.250 0.250 0.750

total moment	0.00	μB/f.u.
DFT total energy	-4.28	eV per atom

=====

[13]
The following is a DFT calculation (PBE) of crystalline Be2AsIr at its relaxed geometry.

a b c (Å): 5.837 5.837 5.837
angles (deg): 90.00 90.00 90.00
Space group F-43m (No. 216)
Symmetry-distinct sites (fractional):
Be: 0.000 0.000 0.000
Be: 0.250 0.250 0.250
As: 0.000 0.000 0.500
Ir: 0.250 0.250 0.750

total moment	0.00	μB/f.u.
DFT total energy	-5.09	eV per atom

=====

[14]
The following is a DFT calculation (PBE) of crystalline BeAsIr at its relaxed geometry.

a b c (Å): 5.506 5.506 5.506
angles (deg): 90.00 90.00 90.00
Space group F-43m (No. 216)
Symmetry-distinct sites (fractional):
Be: 0.000 0.000 0.000
As: 0.250 0.250 0.750
Ir: 0.250 0.250 0.250

total moment	0.00	μB/f.u.
DFT total energy	-5.71	eV per atom

=====

[15]
The following is a DFT calculation (PBE) of crystalline MgBeAsIr at its relaxed geometry.

a b c (Å): 6.090 6.090 6.090
angles (deg): 90.00 90.00 90.00
Space group F-43m (No. 216)
Symmetry-distinct sites (fractional):
Mg: 0.000 0.000 0.000
Be: 0.250 0.250 0.750
As: 0.250 0.250 0.250
Ir: 0.000 0.000 0.500

relative energy among the computed polymorphs	0.0	kJ per mole of atoms
total moment	0.00	μB/f.u.

=====

[16]
The following is a DFT calculation (PBE) of crystalline MgBeAsIr at its relaxed geometry.

a b c (Å): 6.157 6.157 6.157
angles (deg): 90.00 90.00 90.00
Space group F-43m (No. 216)
Symmetry-distinct sites (fractional):
Mg: 0.000 0.000 0.000
Be: 0.000 0.000 0.500
As: 0.250 0.250 0.750
Ir: 0.250 0.250 0.250

relative energy among the computed polymorphs	17.5	kJ per mole of atoms
total moment	0.00	μB/f.u.

=====

[17]
The following is a DFT calculation (PBE) of crystalline KBeAsPd at its relaxed geometry.

a b c (Å): 6.576 6.576 6.576
angles (deg): 90.00 90.00 90.00
Space group F-43m (No. 216)
Symmetry-distinct sites (fractional):
K: 0.000 0.000 0.000
Be: 0.250 0.250 0.250
As: 0.250 0.250 0.750
Pd: 0.000 0.000 0.500

relative energy among the computed polymorphs	0.0	kJ per mole of atoms

=====

[18]
The following is a DFT calculation (PBE) of crystalline KBeAsPd at its relaxed geometry.

a b c (Å): 6.686 6.686 6.686
angles (deg): 90.00 90.00 90.00
Space group F-43m (No. 216)
Symmetry-distinct sites (fractional):
K: 0.000 0.000 0.000
Be: 0.000 0.000 0.500
As: 0.250 0.250 0.250
Pd: 0.250 0.250 0.750

relative energy among the computed polymorphs	9.1	kJ per mole of atoms

=====

[19]
The following is a DFT calculation (PBE) of crystalline KBeAsPt at its relaxed geometry.

a b c (Å): 6.513 6.513 6.513
angles (deg): 90.00 90.00 90.00
Space group F-43m (No. 216)
Symmetry-distinct sites (fractional):
K: 0.000 0.000 0.000
Be: 0.250 0.250 0.250
As: 0.250 0.250 0.750
Pt: 0.000 0.000 0.500

relative energy among the computed polymorphs	0.0	kJ per mole of atoms
total moment	0.00	μB/f.u.

=====

[20]
The following is a DFT calculation (PBE) of crystalline KBeAsPt at its relaxed geometry.

a b c (Å): 6.657 6.657 6.657
angles (deg): 90.00 90.00 90.00
Space group F-43m (No. 216)
Symmetry-distinct sites (fractional):
K: 0.000 0.000 0.000
Be: 0.000 0.000 0.500
As: 0.250 0.250 0.250
Pt: 0.250 0.250 0.750

relative energy among the computed polymorphs	24.5	kJ per mole of atoms
total moment	0.00	μB/f.u.

=====

[21]
The following is a DFT calculation (PBE) of crystalline LiBeNiAs at its relaxed geometry.

a b c (Å): 5.652 5.652 5.652
angles (deg): 90.00 90.00 90.00
Space group F-43m (No. 216)
Symmetry-distinct sites (fractional):
Li: 0.000 0.000 0.000
Be: 0.250 0.250 0.750
Ni: 0.000 0.000 0.500
As: 0.250 0.250 0.250

relative energy among the computed polymorphs	0.0	kJ per mole of atoms
total moment	0.00	μB/f.u.

=====

[22]
The following is a DFT calculation (PBE) of crystalline LiBeAsPt at its relaxed geometry.

a b c (Å): 5.929 5.929 5.929
angles (deg): 90.00 90.00 90.00
Space group F-43m (No. 216)
Symmetry-distinct sites (fractional):
Li: 0.000 0.000 0.000
Be: 0.000 0.000 0.500
As: 0.250 0.250 0.750
Pt: 0.250 0.250 0.250

relative energy among the computed polymorphs	8.9	kJ per mole of atoms
total moment	0.00	μB/f.u.

=====

[23]
The following is a DFT calculation (PBE) of crystalline LiBeAsPt at its relaxed geometry.

a b c (Å): 5.958 5.958 5.958
angles (deg): 90.00 90.00 90.00
Space group F-43m (No. 216)
Symmetry-distinct sites (fractional):
Li: 0.000 0.000 0.000
Be: 0.250 0.250 0.750
As: 0.250 0.250 0.250
Pt: 0.000 0.000 0.500

relative energy among the computed polymorphs	0.0	kJ per mole of atoms
total moment	0.00	μB/f.u.

=====

[24]
The following is a DFT calculation (PBE) of crystalline LiBeZnAs at its relaxed geometry.

a b c (Å): 6.087 6.087 6.087
angles (deg): 90.00 90.00 90.00
Space group F-43m (No. 216)
Symmetry-distinct sites (fractional):
Li: 0.000 0.000 0.000
Be: 0.000 0.000 0.500
Zn: 0.250 0.250 0.750
As: 0.250 0.250 0.250

relative energy among the computed polymorphs	0.0	kJ per mole of atoms

=====

[25]
The following is a DFT calculation (PBE) of crystalline LuBeAs at its relaxed geometry.

a b c (Å): 6.411 6.411 6.411
angles (deg): 90.00 90.00 90.00
Space group F-43m (No. 216)
Symmetry-distinct sites (fractional):
Lu: 0.000 0.000 0.000
Be: 0.250 0.250 0.250
As: 0.250 0.250 0.750

relative energy among the computed polymorphs	17.4	kJ per mole of atoms
total moment	0.00	μB/f.u.

=====

[26]
The following is a DFT calculation (PBE) of crystalline LuBeAs at its relaxed geometry.

a b c (Å): 5.978 5.978 5.978
angles (deg): 90.00 90.00 90.00
Space group F-43m (No. 216)
Symmetry-distinct sites (fractional):
Lu: 0.000 0.000 0.000
Be: 0.250 0.250 0.750
As: 0.000 0.000 0.500

relative energy among the computed polymorphs	0.0	kJ per mole of atoms
total moment	0.00	μB/f.u.

=====

[27]
The following is a DFT calculation (PBE) of crystalline Lu2BeAs at its relaxed geometry.

a b c (Å): 6.889 6.889 6.889
angles (deg): 90.00 90.00 90.00
Space group F-43m (No. 216)
Symmetry-distinct sites (fractional):
Lu: 0.000 0.000 0.000
Lu: 0.250 0.250 0.250
Be: 0.250 0.250 0.750
As: 0.000 0.000 0.500

total moment	0.00	μB/f.u.
DFT total energy	-4.04	eV per atom

=====

[28]
The following is a DFT calculation (PBE) of crystalline LuBeAsO at its relaxed geometry.

a b c (Å): 3.755 3.755 8.472
angles (deg): 90.00 90.00 90.00
Space group P4/nmm (No. 129, origin choice 2)
Symmetry-distinct sites (fractional):
Lu: 0.250 0.250 0.129
Be: 0.250 0.750 0.500
As: 0.250 0.250 0.662
O: 0.250 0.750 0.000

relative energy among the computed polymorphs	0.0	kJ per mole of atoms
total moment	0.00	μB/f.u.

=====

[29]
The following is a DFT calculation (PBE) of crystalline LuBeAsO at its relaxed geometry.

a b c (Å): 3.888 3.888 9.402
angles (deg): 90.00 90.00 90.00
Space group P4/nmm (No. 129, origin choice 2)
Symmetry-distinct sites (fractional):
Lu: 0.250 0.750 0.000
Be: 0.250 0.250 0.494
As: 0.250 0.250 0.203
O: 0.250 0.750 0.500

relative energy among the computed polymorphs	127.1	kJ per mole of atoms
total moment	0.01	μB/f.u.

=====

[30]
The following is a DFT calculation (PBE) of crystalline BeMo2As at its relaxed geometry.

a b c (Å): 6.101 6.101 6.101
angles (deg): 90.00 90.00 90.00
Space group F-43m (No. 216)
Symmetry-distinct sites (fractional):
Be: 0.000 0.000 0.000
Mo: 0.000 0.000 0.500
Mo: 0.250 0.250 0.750
As: 0.250 0.250 0.250

total moment	0.00	μB/f.u.
DFT total energy	-7.22	eV per atom